SiSe2 | PBE | relaxed

Calculated values
- Electronic total energy: -12.835 eV/f.u.
- Magnetic moment: 0.0 μB per cell
- Raw formation energy: -14 kJ per mole of atoms

POSCAR file:
```
SiSe2
1.0
-1.9509 -3.7355 5.6645
-1.0255 -6.0553 3.4827
7.2561 -0.2874 3.3835
Se Si
4 2
Direct
0.6831 0.6831 0.1565
0.6972 0.6972 0.7073
0.9156 0.9156 0.9011
0.4251 0.4251 0.4636
0.2481 0.2481 0.9667
0.8642 0.8642 0.6382
```